No. 1
A plane-wave DFT calculation with PBE-GGA was carried out for a geometry-optimized Ac3Zn3Pt structure.

Cell lengths 4.1358, 4.6457, 20.4044 Å; angles 90.00, 90.00, 90.00 degrees
Space group Imm2 (No. 44)
Asymmetric unit:
Ac  0.0000  0.0000  0.0000 [2 per cell]
Ac  0.0000  0.0000  0.3683 [2 per cell]
Ac  0.0000  0.5000  0.1940 [2 per cell]
Zn  0.0000  0.0000  0.5552 [2 per cell]
Zn  0.0000  0.0000  0.8235 [2 per cell]
Zn  0.0000  0.5000  0.6244 [2 per cell]
Pt  0.0000  0.5000  0.7545 [2 per cell]

Calculated values
DFT total energy, eV per atom: -3.68

No. 2
A plane-wave DFT calculation with PBE-GGA was carried out for a geometry-optimized Ac2ZnPt structure.

Cell lengths 7.6752, 7.6752, 7.6752 Å; angles 90.00, 90.00, 90.00 degrees
Space group Fm-3m (No. 225)
Asymmetric unit:
Ac  0.2500  0.2500  0.2500 [8 per cell]
Zn  0.0000  0.0000  0.0000 [4 per cell]
Pt  0.0000  0.0000  0.5000 [4 per cell]

Calculated values
DFT total energy, eV per atom: -4.50

No. 3
A plane-wave DFT calculation with PBE-GGA was carried out for a geometry-optimized Ac2Zn9Pt6 structure.

Cell lengths 5.6070, 5.6070, 12.4097 Å; angles 90.00, 90.00, 120.00 degrees
Space group P6/mmm (No. 191)
Asymmetric unit:
Ac  0.0000  0.0000  0.1759 [2 per cell]
Zn  0.0000  0.5000  0.0000 [3 per cell]
Zn  0.0000  0.5000  0.3416 [6 per cell]
Pt  0.3333  0.6667  0.1728 [4 per cell]
Pt  0.3333  0.6667  0.5000 [2 per cell]

Calculated values
DFT total energy, eV per atom: -3.82

No. 4
A plane-wave DFT calculation with PBE-GGA was carried out for a geometry-optimized Ac6ZnPt3 structure.

Cell lengths 12.9941, 4.4268, 13.4096 Å; angles 90.00, 112.81, 90.00 degrees
Space group P2_1/m (No. 11)
Asymmetric unit:
Ac  0.0484  0.2500  0.3920 [2 per cell]
Ac  0.1014  0.7500  0.9403 [2 per cell]
Ac  0.2459  0.2500  0.7755 [2 per cell]
Ac  0.2458  0.7500  0.2745 [2 per cell]
Ac  0.4096  0.2500  0.5675 [2 per cell]
Ac  0.4417  0.2500  0.1095 [2 per cell]
Zn  0.2105  0.7500  0.5671 [2 per cell]
Pt  0.0118  0.2500  0.7789 [2 per cell]
Pt  0.3394  0.7500  0.9434 [2 per cell]
Pt  0.4172  0.2500  0.3385 [2 per cell]

Calculated values
DFT total energy, eV per atom: -5.15

No. 5
A plane-wave DFT calculation with PBE-GGA was carried out for a geometry-optimized AcZn2Pt3 structure.

Cell lengths 5.6925, 5.6925, 4.0520 Å; angles 90.00, 90.00, 120.00 degrees
Space group P6/mmm (No. 191)
Asymmetric unit:
Ac  0.0000  0.0000  0.0000 [1 per cell]
Zn  0.3333  0.6667  0.0000 [2 per cell]
Pt  0.0000  0.5000  0.5000 [3 per cell]

Calculated values
DFT total energy, eV per atom: -4.98

No. 6
A plane-wave DFT calculation with PBE-GGA was carried out for a geometry-optimized Ac3Zn2Pt3 structure.

Cell lengths 4.3013, 12.4582, 14.9590 Å; angles 90.00, 90.00, 90.00 degrees
Space group Cmcm (No. 63)
Asymmetric unit:
Ac  0.0000  0.0803  0.1089 [8 per cell]
Ac  0.0000  0.3518  0.2500 [4 per cell]
Zn  0.0000  0.2208  0.5805 [8 per cell]
Pt  0.0000  0.3260  0.7500 [4 per cell]
Pt  0.0000  0.3937  0.0449 [8 per cell]

Calculated values
DFT total energy, eV per atom: -5.03